No. 1
A plane-wave DFT calculation with GGA-PBE was carried out for crystalline AcMnRh at its relaxed geometry.

Lattice parameters (Å, degrees): 7.004 7.004 6.462 90.00 90.00 90.00
Space group P4_12_12 (No. 92)
Asymmetric unit:
Ac: 0.247 0.247 0.000 (multiplicity 4)
Mn: 0.200 0.800 0.750 (multiplicity 4)
Rh: 0.046 0.046 0.500 (multiplicity 4)

Output
The value obtained for the formation energy is 42 meV/atom. The calculation puts the energy above the lowest structure with this stoichiometry at 15.4 meV/atom.

***

No. 2
A plane-wave DFT calculation with GGA-PBE was carried out for crystalline AcMnRh at its relaxed geometry.

Lattice parameters (Å, degrees): 3.575 3.575 10.667 90.00 90.00 90.00
Space group I4mm (No. 107)
Asymmetric unit:
Ac: 0.000 0.000 0.000 (multiplicity 2)
Mn: 0.000 0.000 0.714 (multiplicity 2)
Rh: 0.000 0.000 0.300 (multiplicity 2)

Output
The value obtained for the formation energy is 27 meV/atom. The calculation puts the energy above the lowest structure with this stoichiometry at 0.0 meV/atom.

***

No. 3
A plane-wave DFT calculation with GGA-PBE was carried out for crystalline AcMnRh2 at its relaxed geometry.

Lattice parameters (Å, degrees): 3.359 3.359 6.912 90.00 90.00 90.00
Space group P4/mmm (No. 123)
Asymmetric unit:
Ac: 0.000 0.000 0.000 (multiplicity 1)
Mn: 0.000 0.000 0.500 (multiplicity 1)
Rh: 0.500 0.500 0.298 (multiplicity 2)

Output
The value obtained for the formation energy is -139 meV/atom.

***

No. 4
A plane-wave DFT calculation with GGA-PBE was carried out for crystalline AcMnRh2 at its relaxed geometry.

Lattice parameters (Å, degrees): 4.592 4.592 3.735 90.00 90.00 90.00
Space group P4/mmm (No. 123)
Asymmetric unit:
Ac: 0.000 0.000 0.000 (multiplicity 1)
Mn: 0.500 0.500 0.000 (multiplicity 1)
Rh: 0.000 0.500 0.500 (multiplicity 2)

Output
The value obtained for the formation energy is -180 meV/atom.

***

No. 5
A plane-wave DFT calculation with GGA-PBE was carried out for crystalline AcMnRh2 at its relaxed geometry.

Lattice parameters (Å, degrees): 4.3093 4.3093 15.6890 90.00 90.00 120.00
Space group R-3m (No. 166, hexagonal axes)
Asymmetric unit:
Ac: 0.0000 0.0000 0.0000 (multiplicity 3)
Mn: 0.0000 0.0000 0.5000 (multiplicity 3)
Rh: 0.0000 0.0000 0.2079 (multiplicity 6)

Output
The value obtained for the formation energy is -340 meV/atom.

***

No. 6
A plane-wave DFT calculation with GGA-PBE was carried out for crystalline Ac2MnRhS6 at its relaxed geometry.

Lattice parameters (Å, degrees): 6.538 9.319 7.005 90.00 90.00 90.00
Space group Pmmn (No. 59, origin choice 2)
Asymmetric unit:
Ac: 0.250 0.012 0.216 (multiplicity 4)
Mn: 0.250 0.750 0.732 (multiplicity 2)
Rh: 0.250 0.250 0.738 (multiplicity 2)
S: 0.003 0.750 0.018 (multiplicity 4)
S: 0.020 0.250 0.473 (multiplicity 4)
S: 0.250 0.501 0.786 (multiplicity 4)

Output
The energy relative to the elements, uncorrected is -1.202 eV per atom.

***

no.,volume (Å³/atom)
1,26.42
2,22.73
3,19.50
4,19.69
5,21.03
6,21.34